# 1
Computed, not measured: an optimized crystal structure of Sm3Hg at the PBE level of DFT.

Values from the calculation:
excess energy over the best structure of this formula in the dataset	7.1	kJ/mol of atoms
energy of formation	-0.153	eV per atom
E_tot	-30.1	eV for the cell shown
Fermi-level density of states	4.61	states/eV/f.u.
magnetization	0.0	μB per cell

abc: 4.809 4.809 10.080
angles: 90.00 90.00 90.00
Space group I4/mmm (No. 139)
Asymmetric unit:
1 Sm 0.000 0.000 0.000 x2
2 Sm 0.000 0.500 0.250 x4
3 Hg 0.000 0.000 0.500 x2

# 2
Computed, not measured: an optimized crystal structure of Fe2SnI6Cl2 at the PBE level of DFT.

Values from the calculation:
raw formation energy	-0.380	eV per atom
E_tot	-38.1	eV for the cell shown
Fermi-level density of states	0.08	states/eV/f.u.
magnetization	10.0	μB per cell

abc: 7.5174 7.5174 10.2166
angles: 90.00 90.00 120.00
Space group P-3 (No. 147)
Asymmetric unit:
1 Fe 0.3333 0.6667 0.2332 x2
2 Sn 0.0000 0.0000 0.5000 x1
3 I 0.0037 0.6584 0.3157 x6
4 Cl 0.3333 0.6667 0.0230 x2

# 3
Computed, not measured: an optimized crystal structure of Ca4PI2N at the PBE level of DFT.

Values from the calculation:
raw formation energy	-1.244	eV per atom
E_tot	-34.8	eV for the cell shown
magnetization	0.0	μB per cell

abc: 7.053 4.066 7.800
angles: 90.00 107.84 90.00
Space group P2/m (No. 10)
Asymmetric unit:
1 Ca 0.207 0.000 0.175 x2
2 Ca 0.243 0.500 0.826 x2
3 P 0.500 0.000 0.000 x1
4 I 0.000 0.000 0.500 x1
5 I 0.500 0.500 0.500 x1
6 N 0.000 0.500 0.000 x1